Entry 1:
Crystalline LiGa2Rh2 at its relaxed geometry, computed with PBEsol.

abc: 2.892 7.060 7.060
angles: 90.00 90.00 90.00
Element x y z (fractional)
Rh: 0.000 0.855 0.645
Li: 0.000 0.000 0.000
Ga: 0.500 0.848 0.348
Rh: 0.000 0.645 0.145
Rh: 0.000 0.355 0.855
Li: 0.000 0.500 0.500
Rh: 0.000 0.145 0.355
Ga: 0.500 0.152 0.652
Ga: 0.500 0.652 0.848
Ga: 0.500 0.348 0.152

Properties
The calculated density is 8.11 g/cm3. For the volume, the calculation gives 14.417 Å³ per atom. The value obtained for the formation energy is -58.4 kJ per mole of atoms. Its total energy is -5.5902 eV/atom.

---

Entry 2:
Crystalline Li2GaRh at its relaxed geometry, computed with PBEsol.

abc: 4.182 4.182 4.182
angles: 60.00 60.00 60.00
Element x y z (fractional)
Li: 0.500 0.500 0.500
Li: 0.250 0.250 0.250
Rh: 0.000 0.000 0.000
Ga: 0.750 0.750 0.750

Properties
The calculated density is 5.99 g/cm3. For the volume, the calculation gives 12.931 Å³ per atom. The value obtained for the formation energy is -44.2 kJ per mole of atoms. Its total energy is -4.3113 eV/atom.

---

Entry 3:
Crystalline LiGa3Rh at its relaxed geometry, computed with PBEsol.

abc: 4.285 4.285 4.285
angles: 90.00 90.00 90.00
Element x y z (fractional)
Li: 0.000 0.000 0.000
Rh: 0.500 0.500 0.500
Ga: 0.000 0.500 0.000
Ga: 0.500 0.000 0.000
Ga: 0.000 0.000 0.500

Properties
The calculated density is 6.73 g/cm3. For the volume, the calculation gives 15.733 Å³ per atom. The value obtained for the formation energy is 54.4 kJ per mole of atoms. Its total energy is -3.4608 eV/atom.

---

Entry 4:
Crystalline LiGa2Rh at its relaxed geometry, computed with PBEsol.

abc: 4.235 4.235 4.235
angles: 60.00 60.00 60.00
Element x y z (fractional)
Li: 0.500 0.500 0.500
Rh: 0.000 0.000 0.000
Ga: 0.750 0.750 0.750
Ga: 0.250 0.250 0.250

Properties
The calculated density is 7.71 g/cm3. For the volume, the calculation gives 13.422 Å³ per atom. The value obtained for the formation energy is -55.1 kJ per mole of atoms. Its total energy is -4.7676 eV/atom.